LiFeF3 | PBE with a Hubbard U | relaxed

## Properties
As for the electronic total energy: -5.21 eV per atom. As for the space group: No. 148.

a b c (Å): 8.8753 8.8753 8.8753
angles (deg): 111.89 111.89 111.89
Element x y z (fractional)
Fe1 0.5243 0.6928 0.0076
F1 0.3529 0.4596 0.0201
Fe2 0.0076 0.5243 0.6928
F2 0.5404 0.9799 0.6471
F3 0.7125 0.8991 0.9975
F4 0.6828 0.2602 0.0809
Li1 0.9166 0.7188 0.0637
F5 0.3172 0.7398 0.9191
F6 0.0025 0.2875 0.1009
Li2 0.9363 0.0834 0.2812
F7 0.2602 0.0809 0.6828
F8 0.8991 0.9975 0.7125
F9 0.6471 0.5404 0.9799
Fe3 0.3072 0.9924 0.4757
Li3 0.0834 0.2812 0.9363
Li4 0.0637 0.9166 0.7188
F10 0.7398 0.9191 0.3172
F11 0.2875 0.1009 0.0025
Fe4 0.4757 0.3072 0.9924
F12 0.9799 0.6471 0.5404
F13 0.9191 0.3172 0.7398
F14 0.4596 0.0201 0.3529
Fe5 0.6928 0.0076 0.5243
F15 0.0201 0.3529 0.4596
Fe6 0.9924 0.4757 0.3072
Li5 0.2812 0.9363 0.0834
Li6 0.7188 0.0637 0.9166
F16 0.0809 0.6828 0.2602
F17 0.1009 0.0025 0.2875
F18 0.9975 0.7125 0.8991